Record 1
This record from the Alexandria database describes a crystal of YCrRu3 relaxed with PBEsol. The functional is SCAN.

Cell lengths 4.6752, 4.6752, 4.6752 Å; angles 90.00, 90.00, 90.00 degrees
Last column: nearest neighbours and their distance in Å.
Sites, in units of the cell vectors:
Y (0.0000, 0.0000, 0.0000)  6 Ru 2.34
Cr (0.5000, 0.5000, 0.5000)  12 Ru 3.31
Ru (0.0000, 0.0000, 0.5000)  2 Y 2.34
Ru (0.0000, 0.5000, 0.0000)  2 Y 2.34
Ru (0.5000, 0.0000, 0.0000)  2 Y 2.34

Output
formation enthalpy at 0 K	2.05	eV/atom

---

Record 2
This record from the Alexandria database describes a crystal of YCr2Ru relaxed with PBEsol. The functional is SCAN.

Cell lengths 4.9732, 4.9732, 4.8293 Å; angles 105.95, 105.95, 35.17 degrees
Last column: nearest neighbours and their distance in Å.
Sites, in units of the cell vectors:
Y (0.0000, 0.0000, 0.0000)  4 Ru 2.84, 2 Y 3.01, 6 Cr 3.10
Cr (0.2223, 0.2223, 0.6380)  2 Cr 2.17
Cr (0.7777, 0.7777, 0.3620)  2 Cr 2.17
Ru (0.5000, 0.5000, 0.5000)  4 Cr 2.52

Output
formation enthalpy at 0 K	0.31	eV/atom

---

Record 3
This record from the Alexandria database describes a crystal of ZnCrRu relaxed with PBEsol. The functional is SCAN.

Cell lengths 4.9123, 4.9123, 4.9123 Å; angles 145.48, 145.48, 49.63 degrees
Last column: nearest neighbours and their distance in Å.
Sites, in units of the cell vectors:
Zn (0.0000, 0.0000, 0.0000)  4 Cr 2.57, 5 Ru 2.63-2.83
Cr (0.6720, 0.6720, 0.0000)  4 Ru 2.43, 4 Zn 2.57
Ru (0.3168, 0.3168, 0.0000)  4 Cr 2.43, 4 Zn 2.63

Output
formation enthalpy at 0 K	-0.01	eV/atom

---

Record 4
This record from the Alexandria database describes a crystal of Zn2CrRu relaxed with PBEsol. The functional is SCAN.

Cell lengths 3.0111, 4.0503, 4.2358 Å; angles 90.00, 90.00, 90.00 degrees
Last column: nearest neighbours and their distance in Å.
Sites, in units of the cell vectors:
Zn (0.0000, 0.0000, 0.0000)  4 Zn 2.52, 4 Ru 2.60
Zn (0.5000, 0.5000, 0.0000)  4 Zn 2.52, 4 Cr 2.60
Cr (0.0000, 0.5000, 0.5000)  4 Ru 2.52, 4 Zn 2.60
Ru (0.5000, 0.0000, 0.5000)  4 Cr 2.52, 4 Zn 2.60

Output
formation enthalpy at 0 K	0.06	eV/atom
energy relative to the lowest polymorph listed for this composition	0.084	eV per atom

---

Record 5
This record from the Alexandria database describes a crystal of Zn2CrRu relaxed with PBEsol. The functional is SCAN.

Cell lengths 2.8451, 2.8451, 6.4162 Å; angles 90.00, 90.00, 90.00 degrees
Last column: nearest neighbours and their distance in Å.
Sites, in units of the cell vectors:
Zn (0.0000, 0.0000, 0.0000)  8 Zn 2.62-2.85, 4 Ru 2.67
Zn (0.5000, 0.5000, 0.2612)  4 Cr 2.60, 8 Zn 2.62-2.85
Cr (0.0000, 0.0000, 0.5185)  4 Ru 2.42, 4 Zn 2.60
Ru (0.5000, 0.5000, 0.7273)  4 Cr 2.42, 4 Zn 2.67

Output
formation enthalpy at 0 K	-0.02	eV/atom
energy relative to the lowest polymorph listed for this composition	0.000	eV per atom

---

Record 6
This record from the Alexandria database describes a crystal of Zn2CrRu relaxed with PBEsol. The functional is SCAN.

Cell lengths 4.2303, 4.2303, 4.2303 Å; angles 60.00, 60.00, 60.00 degrees
Last column: nearest neighbours and their distance in Å.
Sites, in units of the cell vectors:
Zn (0.2500, 0.2500, 0.2500)  4 Ru 2.59, 4 Cr 2.59
Zn (0.7500, 0.7500, 0.7500)  4 Ru 2.59, 4 Cr 2.59
Cr (0.0000, 0.0000, 0.0000)  8 Zn 2.59
Ru (0.5000, 0.5000, 0.5000)  8 Zn 2.59

Output
formation enthalpy at 0 K	-0.02	eV/atom
energy relative to the lowest polymorph listed for this composition	0.006	eV per atom

---

Record 7
This record from the Alexandria database describes a crystal of Zn2CrRu relaxed with PBEsol. The functional is SCAN.

Cell lengths 4.3959, 4.3959, 4.6109 Å; angles 98.11, 98.11, 35.60 degrees
Last column: nearest neighbours and their distance in Å.
Sites, in units of the cell vectors:
Zn (0.0000, 0.0000, 0.0000)  5 Zn 2.43-2.69, 4 Cr 2.64-2.70, 3 Ru 2.67-2.68
Zn (0.2484, 0.2484, 0.7855)  5 Zn 2.43-2.69, 4 Ru 2.62-2.72, 3 Cr 2.66-2.68
Cr (0.4991, 0.4991, 0.4915)  3 Ru 2.40-2.53, 5 Zn 2.64-2.68
Ru (0.7494, 0.7494, 0.2975)  3 Cr 2.40-2.53, 5 Zn 2.62-2.68

Output
formation enthalpy at 0 K	0.11	eV/atom
energy relative to the lowest polymorph listed for this composition	0.135	eV per atom

---

Record 8
This record from the Alexandria database describes a crystal of Zn2CrRu relaxed with PBEsol. The functional is SCAN.

Cell lengths 4.7956, 4.7956, 4.7956 Å; angles 142.88, 128.13, 65.50 degrees
Last column: nearest neighbours and their distance in Å.
Sites, in units of the cell vectors:
Zn (0.0000, 0.0000, 0.0000)  2 Zn 2.51, 2 Cr 2.57, 4 Ru 2.59
Zn (0.7534, 0.2534, 0.5000)  2 Zn 2.51, 4 Cr 2.59, 2 Ru 2.61
Cr (0.2569, 0.7569, 0.5000)  2 Ru 2.43, 6 Zn 2.57-2.59
Ru (0.4916, 0.4916, 0.0000)  2 Cr 2.43, 6 Zn 2.59-2.61

Output
formation enthalpy at 0 K	0.04	eV/atom
energy relative to the lowest polymorph listed for this composition	0.061	eV per atom

---

Record 9
This record from the Alexandria database describes a crystal of ZrCrRu2 relaxed with PBEsol. The functional is SCAN.

Cell lengths 5.0216, 5.0216, 4.4187 Å; angles 111.07, 111.07, 35.16 degrees
Last column: nearest neighbours and their distance in Å.
Sites, in units of the cell vectors:
Zr (0.0000, 0.0000, 0.0000)  7 Ru 2.63-2.78, 2 Cr 2.80
Cr (0.2415, 0.2415, 0.6685)  6 Ru 2.52-2.76, 2 Zr 2.80
Ru (0.5149, 0.5149, 0.5267)  2 Cr 2.52, 4 Zr 2.63-2.74, 2 Ru 2.78
Ru (0.7585, 0.7585, 0.2031)  4 Cr 2.61-2.76, 3 Zr 2.75-2.78, 2 Ru 2.78

Output
formation enthalpy at 0 K	-0.11	eV/atom

---

Record 10
This record from the Alexandria database describes a crystal of ZrCr2Ru relaxed with PBEsol. The functional is SCAN.

Cell lengths 2.8028, 3.9039, 5.3361 Å; angles 90.00, 102.16, 90.00 degrees
Last column: nearest neighbours and their distance in Å.
Sites, in units of the cell vectors:
Zr (0.0000, 0.0000, 0.0000)  4 Ru 2.68-2.99, 6 Cr 2.69-3.00, 2 Zr 2.80
Cr (0.5320, 0.0000, 0.4836)  2 Cr 2.30, 2 Ru 2.50
Cr (0.7140, 0.5000, 0.2955)  2 Cr 2.30, 1 Ru 2.45
Ru (0.2736, 0.5000, 0.7167)  3 Cr 2.45-2.50, 2 Zr 2.68

Output
formation enthalpy at 0 K	0.13	eV/atom
energy relative to the lowest polymorph listed for this composition	0.176	eV per atom

---

Record 11
This record from the Alexandria database describes a crystal of ZrCr2Ru relaxed with PBEsol. The functional is SCAN.

Cell lengths 2.9925, 2.9925, 6.2684 Å; angles 90.00, 90.00, 90.00 degrees
Last column: nearest neighbours and their distance in Å.
Sites, in units of the cell vectors:
Zr (0.0000, 0.0000, 0.0000)  5 Cr 2.74-3.01, 4 Ru 2.75, 4 Zr 2.99
Cr (0.0000, 0.0000, 0.4801)  4 Cr 2.47, 4 Ru 2.59
Cr (0.5000, 0.5000, 0.2778)  4 Cr 2.47, 4 Zr 2.74
Ru (0.5000, 0.5000, 0.7195)  5 Cr 2.59-2.77, 4 Zr 2.75

Output
formation enthalpy at 0 K	-0.05	eV/atom
energy relative to the lowest polymorph listed for this composition	0.000	eV per atom

---

Record 12
This record from the Alexandria database describes a crystal of ZrCr2Ru relaxed with PBEsol. The functional is SCAN.

Cell lengths 5.0765, 5.0765, 5.0765 Å; angles 145.05, 130.36, 62.14 degrees
Last column: nearest neighbours and their distance in Å.
Sites, in units of the cell vectors:
Zr (0.0000, 0.0000, 0.0000)  4 Ru 2.62, 4 Cr 2.68
Cr (0.2539, 0.7539, 0.5000)  4 Cr 2.62, 2 Ru 2.63, 2 Zr 2.68
Cr (0.7461, 0.2461, 0.5000)  4 Cr 2.62, 2 Ru 2.63, 2 Zr 2.68
Ru (0.5000, 0.5000, 0.0000)  4 Zr 2.62, 4 Cr 2.63

Output
formation enthalpy at 0 K	0.09	eV/atom
energy relative to the lowest polymorph listed for this composition	0.142	eV per atom